Entry 1:
Below is a relaxed structure of AgGe2Os2, with properties calculated at the PBE-GGA level.

Unit cell a=3.9511 b=3.9511 c=6.2163 alpha=71.47 beta=71.47 gamma=90.00
Last column: nearest neighbours and their distance in Å.
Fractional positions:
1 Ge 0.7500 0.2500 0.5000  4 Os 2.50, 4 Ge 2.79
2 Ge 0.2500 0.7500 0.5000  4 Os 2.50, 4 Ge 2.79
3 Os 0.3873 0.3873 0.2254  4 Ge 2.50, 1 Os 2.50
4 Os 0.6127 0.6127 0.7746  4 Ge 2.50, 1 Os 2.50
5 Ag 0.0000 0.0000 0.0000  8 Os 3.06, 8 Ge 3.41

Properties
energy of formation = 0.451 eV/atom
total moment = 0.00 Bohr magnetons per cell
electronic total energy = -6.458 eV per atom
N(E_F) = 4.31 states/eV per cell

Entry 2:
Below is a relaxed structure of AgGeOs3, with properties calculated at the PBE-GGA level.

Unit cell a=4.7947 b=4.7947 c=4.7947 alpha=90.00 beta=90.00 gamma=90.00
Last column: nearest neighbours and their distance in Å.
Fractional positions:
1 Os 0.5000 0.0000 0.0000  2 Ag 2.40
2 Os 0.0000 0.5000 0.0000  2 Ag 2.40
3 Os 0.0000 0.0000 0.5000  2 Ag 2.40
4 Ag 0.0000 0.0000 0.0000  6 Os 2.40
5 Ge 0.5000 0.5000 0.5000  12 Os 3.39

Properties
energy of formation = 3.062 eV/atom
total moment = 4.36 Bohr magnetons per cell
electronic total energy = -5.170 eV per atom
N(E_F) = 9.73 states/eV per cell